No. 1
SmThBi2: optimized geometry, GGA-PBE.

Properties
V, Å³ per atom: 32.5
Total magnetic moment, μB/f.u.: 0.000
Calculated total energy, eV/atom: -5.104
Calculated formation energy, meV per atom: -129

extended XYZ file:
```
4
Lattice="-0.623 -3.332 -0.895 2.438 -2.454 0.573 -4.104 -4.021 10.962" Properties=species:S:1:pos:R:3 pbc="T T T"
Sm -1.145 -4.904 5.320
Bi -2.813 -3.448 7.927
Bi 0.523 -6.361 2.713
Th 0.000 0.000 0.000
```

***

No. 2
AlAgW: optimized geometry, GGA-PBE.

Properties
V, Å³ per atom: 16.3
Total magnetic moment, μB/f.u.: 0.000
Calculated total energy, eV/atom: -6.326
Calculated formation energy, meV per atom: 190

extended XYZ file:
```
3
Lattice="2.841 0.000 0.000 -1.421 2.461 0.000 0.000 0.000 6.981" Properties=species:S:1:pos:R:3 pbc="T T T"
Ag 0.000 0.000 0.064
W 0.000 1.640 4.568
Al 1.421 0.820 2.350
```

***

No. 3
Pm2BeP3Ir4: optimized geometry, GGA-PBE.

Properties
V, Å³ per atom: 16.3
Total magnetic moment, μB/f.u.: 0.000
Calculated total energy, eV/atom: -7.445
Calculated formation energy, meV per atom: -955

extended XYZ file:
```
10
Lattice="-0.656 4.040 -0.054 -1.620 -0.313 -3.746 -8.784 -1.375 3.913" Properties=species:S:1:pos:R:3 pbc="T T T"
Pm -2.607 1.663 0.988
Pm -7.315 -1.174 1.025
Be -5.530 1.176 0.057
P -4.392 -0.687 1.956
P -7.873 0.839 3.334
P -2.048 -0.350 -1.321
Ir -1.138 1.864 -1.900
Ir 0.000 0.000 0.000
Ir -5.762 1.170 2.394
Ir -4.160 -0.681 -0.381
```

***

No. 4
Pu2Cl2F3: optimized geometry, GGA-PBE.

Properties
V, Å³ per atom: 18.7
Total magnetic moment, μB/f.u.: 11.000
Calculated total energy, eV/atom: -8.260

extended XYZ file:
```
7
Lattice="-3.447 1.859 0.048 -4.134 -3.562 0.800 -2.235 -0.195 6.784" Properties=species:S:1:pos:R:3 pbc="T T T"
Pu -6.059 -3.140 5.991
Pu -3.757 1.242 1.642
Cl -3.083 -1.639 1.810
Cl -6.734 -0.260 5.823
F -1.724 0.929 0.024
F -5.798 -2.594 3.627
F -4.019 0.696 4.006
```

***

- What is the total magnetic moment in the third record?
  0.000 μB/f.u.